The following is a DFT calculation (PBE) of crystalline SrSn at its relaxed geometry.

Computed properties:
total DFT energy (no corrections) = -6.032 eV per cell
calculated formation energy = -17 kJ/mol of atoms
N(E_F) = 1.37 states/eV per atom

a b c (Å): 4.822 4.822 4.822
angles (deg): 60.00 60.00 60.00
Element x y z (fractional)
Sr 0.000 0.000 0.000
Sn 0.500 0.500 0.500

=====

The following is a DFT calculation (PBE) of crystalline SrSn3 at its relaxed geometry.

Computed properties:
total DFT energy (no corrections) = -61.195 eV per cell
calculated formation energy = -39 kJ/mol of atoms
N(E_F) = 0.44 states/eV per atom

a b c (Å): 11.784 11.784 11.784
angles (deg): 34.61 34.61 34.61
Element x y z (fractional)
Sr 0.132 0.132 0.132
Sr 0.291 0.291 0.291
Sr 0.709 0.709 0.709
Sr 0.868 0.868 0.868
Sn 0.164 0.602 0.602
Sn 0.202 0.202 0.723
Sn 0.202 0.723 0.202
Sn 0.277 0.798 0.798
Sn 0.398 0.398 0.836
Sn 0.398 0.836 0.398
Sn 0.602 0.164 0.602
Sn 0.602 0.602 0.164
Sn 0.723 0.202 0.202
Sn 0.798 0.277 0.798
Sn 0.798 0.798 0.277
Sn 0.836 0.398 0.398

=====

The following is a DFT calculation (PBE) of crystalline SrSn5 at its relaxed geometry.

Computed properties:
total DFT energy (no corrections) = -22.860 eV per cell
calculated formation energy = -19 kJ/mol of atoms
N(E_F) = 0.55 states/eV per atom

a b c (Å): 8.216 8.216 4.131
angles (deg): 90.00 90.00 141.27
Element x y z (fractional)
Sr 0.000 0.000 0.000
Sn 0.186 0.814 0.500
Sn 0.340 0.660 0.000
Sn 0.500 0.500 0.500
Sn 0.660 0.340 0.000
Sn 0.814 0.186 0.500

=====

The following is a DFT calculation (PBE) of crystalline SrTaSn2 at its relaxed geometry.

Computed properties:
total DFT energy (no corrections) = -39.903 eV per cell
calculated formation energy = 38 kJ/mol of atoms
N(E_F) = 1.09 states/eV per atom

a b c (Å): 9.961 9.961 9.961
angles (deg): 147.25 147.25 46.99
Element x y z (fractional)
Sr 0.000 0.000 0.000
Sr 0.750 0.250 0.500
Ta 0.250 0.750 0.500
Ta 0.500 0.500 0.000
Sn 0.287 0.625 0.162
Sn 0.375 0.537 0.662
Sn 0.463 0.125 0.838
Sn 0.875 0.713 0.338

=====

The following is a DFT calculation (PBE) of crystalline SrTa2Sn at its relaxed geometry.

Computed properties:
total DFT energy (no corrections) = -52.320 eV per cell
calculated formation energy = 78 kJ/mol of atoms
N(E_F) = 0.88 states/eV per atom

a b c (Å): 10.858 10.858 10.858
angles (deg): 153.89 153.89 37.26
Element x y z (fractional)
Sr 0.000 0.000 0.000
Sr 0.750 0.250 0.500
Ta 0.334 0.625 0.209
Ta 0.375 0.584 0.709
Ta 0.416 0.125 0.791
Ta 0.875 0.666 0.291
Sn 0.250 0.750 0.500
Sn 0.500 0.500 0.000

=====

The following is a DFT calculation (PBE) of crystalline Sr3TaSn at its relaxed geometry.

Computed properties:
total DFT energy (no corrections) = -16.248 eV per cell
calculated formation energy = 90 kJ/mol of atoms
E above lowest polymorph = 0.17 kcal/mol of atoms
N(E_F) = 1.76 states/eV per atom

a b c (Å): 5.865 5.865 5.865
angles (deg): 90.00 90.00 90.00
Element x y z (fractional)
Sr 0.000 0.000 0.500
Sr 0.000 0.500 0.000
Sr 0.500 0.000 0.000
Ta 0.000 0.000 0.000
Sn 0.500 0.500 0.500

=====

What is the calculated formation energy in the fourth record? 38 kJ/mol of atoms

=====

Which value of N(E_F) does entry 3 give? 0.55 states/eV per atom

=====

Which of these has the lowest N(E_F)? SrSn3

=====

The highest calculated formation energy belongs to which entry? Sr3TaSn